[1]
DFT (PBEsol) results for a relaxed structure of AlRe2Ru.

a = 2.9402 Å, b = 4.3911 Å, c = 8.6069 Å
α = 90.00°, β = 90.00°, γ = 90.00°
With the nearest neighbours (Å) after each atom.
Space group Imm2 (No. 44)
Inequivalent atoms, fractional coordinates:
Al 0.0000 0.0000 0.0000 (multiplicity 2)  2 Ru 2.50, 6 Re 2.57-2.64
Re 0.0000 0.0000 0.5019 (multiplicity 2)  4 Al 2.64, 4 Re 2.65-2.94, 2 Ru 2.70
Re 0.0000 0.5000 0.7453 (multiplicity 2)  2 Al 2.57, 4 Ru 2.65, 2 Re 2.65
Ru 0.0000 0.5000 0.2651 (multiplicity 2)  2 Al 2.50, 6 Re 2.65-2.70

Summary:
- volume (Å³/atom) = 13.89
- total energy (Ry per atom) = -0.756
- total magnetization (μB/atom) = 0.000
- E_form (eV per atom) = -0.055

***

[2]
DFT (PBEsol) results for a relaxed structure of Al2ReRu.

a = 6.7179 Å, b = 6.7179 Å, c = 5.3517 Å
α = 90.00°, β = 90.00°, γ = 90.00°
With the nearest neighbours (Å) after each atom.
Space group I-42d (No. 122)
Inequivalent atoms, fractional coordinates:
Al 0.2373 0.7500 0.1250 (multiplicity 8)  2 Ru 2.41, 2 Re 2.53, 2 Al 2.68
Re 0.0000 0.0000 0.5000 (multiplicity 4)  4 Al 2.53, 2 Ru 2.68
Ru 0.0000 0.0000 0.0000 (multiplicity 4)  4 Al 2.41, 2 Re 2.68

Summary:
- volume (Å³/atom) = 15.10
- total energy (Ry per atom) = -0.546
- total magnetization (μB/atom) = 0.000
- E_form (eV per atom) = 0.493

***

[3]
DFT (PBEsol) results for a relaxed structure of AlRe2Ru.

a = 2.7651 Å, b = 2.7651 Å, c = 25.7948 Å
α = 90.00°, β = 90.00°, γ = 120.00°
With the nearest neighbours (Å) after each atom.
Space group R3m (No. 160, hexagonal axes)
Inequivalent atoms, fractional coordinates:
Al 0.0000 0.0000 0.0000 (multiplicity 3)  3 Ru 2.64, 3 Re 2.72, 6 Al 2.77
Re 0.0000 0.0000 0.2478 (multiplicity 3)  9 Re 2.69-2.77, 3 Al 2.72
Re 0.0000 0.0000 0.4972 (multiplicity 3)  3 Ru 2.66, 9 Re 2.69-2.77
Ru 0.0000 0.0000 0.7480 (multiplicity 3)  3 Al 2.64, 3 Re 2.66, 6 Ru 2.77

Summary:
- volume (Å³/atom) = 14.23
- total energy (Ry per atom) = -0.757
- total magnetization (μB/atom) = 0.000
- E_form (eV per atom) = -0.068

***

[4]
DFT (PBEsol) results for a relaxed structure of Al2ReRu.

a = 2.9768 Å, b = 2.9768 Å, c = 6.1115 Å
α = 90.00°, β = 90.00°, γ = 90.00°
With the nearest neighbours (Å) after each atom.
Space group P4/mmm (No. 123)
Inequivalent atoms, fractional coordinates:
Al 0.0000 0.0000 0.2359 (multiplicity 2)  4 Ru 2.55, 4 Re 2.65
Re 0.5000 0.5000 0.5000 (multiplicity 1)  8 Al 2.65
Ru 0.5000 0.5000 0.0000 (multiplicity 1)  8 Al 2.55

Summary:
- volume (Å³/atom) = 13.54
- total energy (Ry per atom) = -0.606
- total magnetization (μB/atom) = 0.000
- E_form (eV per atom) = -0.322

***

[5]
DFT (PBEsol) results for a relaxed structure of AlRe2Sb.

a = 2.9737 Å, b = 2.9737 Å, c = 8.0042 Å
α = 90.00°, β = 90.00°, γ = 90.00°
With the nearest neighbours (Å) after each atom.
Space group P4mm (No. 99)
Inequivalent atoms, fractional coordinates:
Al 0.0000 0.0000 0.0000 (multiplicity 1)  4 Re 2.65
Re 0.0000 0.0000 0.3979 (multiplicity 1)  4 Re 2.63, 4 Sb 2.88
Re 0.5000 0.5000 0.2010 (multiplicity 1)  4 Re 2.63, 4 Al 2.65
Sb 0.5000 0.5000 0.6440 (multiplicity 1)  4 Re 2.88, 4 Sb 2.97

Summary:
- volume (Å³/atom) = 17.69
- total energy (Ry per atom) = -0.641
- total magnetization (μB/atom) = 0.000

***

[6]
DFT (PBEsol) results for a relaxed structure of AlReSi2Sb.

a = 4.5804 Å, b = 4.5804 Å, c = 4.6858 Å
α = 90.00°, β = 90.00°, γ = 90.00°
With the nearest neighbours (Å) after each atom.
Space group P4/mmm (No. 123)
Inequivalent atoms, fractional coordinates:
Al 0.0000 0.0000 0.0000 (multiplicity 1)  4 Si 2.29, 2 Re 2.34
Re 0.0000 0.0000 0.5000 (multiplicity 1)  2 Al 2.34
Si 0.0000 0.5000 0.0000 (multiplicity 2)  2 Al 2.29
Sb 0.5000 0.5000 0.5000 (multiplicity 1)  4 Re 3.24, 8 Si 3.28

Summary:
- volume (Å³/atom) = 19.66
- total energy (Ry per atom) = -0.396
- total magnetization (μB/atom) = 0.014

***

[7]
DFT (PBEsol) results for a relaxed structure of AlReSb2Te.

a = 5.0557 Å, b = 5.0557 Å, c = 5.1338 Å
α = 90.00°, β = 90.00°, γ = 90.00°
With the nearest neighbours (Å) after each atom.
Space group P4/mmm (No. 123)
Inequivalent atoms, fractional coordinates:
Al 0.0000 0.0000 0.0000 (multiplicity 1)  4 Sb 2.53, 2 Te 2.57
Re 0.5000 0.5000 0.5000 (multiplicity 1)  4 Te 3.57, 8 Sb 3.60
Sb 0.0000 0.5000 0.0000 (multiplicity 2)  2 Al 2.53
Te 0.0000 0.0000 0.5000 (multiplicity 1)  2 Al 2.57

Summary:
- volume (Å³/atom) = 26.24
- total energy (Ry per atom) = -0.329
- total magnetization (μB/atom) = 0.609

***

[8]
DFT (PBEsol) results for a relaxed structure of ScAl2Re.

a = 5.5338 Å, b = 8.2603 Å, c = 2.7659 Å
α = 90.00°, β = 90.00°, γ = 90.00°
With the nearest neighbours (Å) after each atom.
Space group Cmmm (No. 65)
Inequivalent atoms, fractional coordinates:
Sc 0.0000 0.0000 0.0000 (multiplicity 2)  2 Sc 2.77, 2 Re 2.77, 8 Al 2.84
Al 0.2500 0.2500 0.5000 (multiplicity 4)  4 Al 2.77, 4 Sc 2.84, 4 Re 2.84
Re 0.0000 0.5000 0.0000 (multiplicity 2)  2 Re 2.77, 2 Sc 2.77, 8 Al 2.84

Summary:
- volume (Å³/atom) = 15.80
- total energy (Ry per atom) = -0.528
- total magnetization (μB/atom) = 0.000
- E_form (eV per atom) = -0.148

***

[9]
DFT (PBEsol) results for a relaxed structure of ScAl2Re.

a = 3.4729 Å, b = 4.3819 Å, c = 8.3550 Å
α = 90.00°, β = 90.00°, γ = 90.00°
With the nearest neighbours (Å) after each atom.
Space group Immm (No. 71)
Inequivalent atoms, fractional coordinates:
Sc 0.0000 0.0000 0.0000 (multiplicity 2)  8 Al 2.79-2.96, 4 Re 2.80
Al 0.0000 0.5000 0.2387 (multiplicity 4)  2 Re 2.64, 2 Sc 2.79, 4 Al 2.80
Re 0.0000 0.0000 0.5000 (multiplicity 2)  4 Al 2.64, 4 Sc 2.80

Summary:
- volume (Å³/atom) = 15.89
- total energy (Ry per atom) = -0.538
- total magnetization (μB/atom) = 0.000
- E_form (eV per atom) = -0.289

***

[10]
DFT (PBEsol) results for a relaxed structure of ScAl2Re.

a = 3.9983 Å, b = 3.9983 Å, c = 7.9778 Å
α = 90.00°, β = 90.00°, γ = 90.00°
With the nearest neighbours (Å) after each atom.
Space group I-4m2 (No. 119)
Inequivalent atoms, fractional coordinates:
Sc 0.0000 0.0000 0.0000 (multiplicity 2)  4 Re 2.82, 8 Al 2.82-2.83
Al 0.0000 0.0000 0.5000 (multiplicity 2)  4 Al 2.82, 4 Re 2.82, 4 Sc 2.83
Al 0.0000 0.5000 0.2500 (multiplicity 2)  4 Sc 2.82, 4 Al 2.82, 4 Re 2.83
Re 0.0000 0.5000 0.7500 (multiplicity 2)  4 Sc 2.82, 8 Al 2.82-2.83

Summary:
- volume (Å³/atom) = 15.94
- total energy (Ry per atom) = -0.528
- total magnetization (μB/atom) = 0.000
- E_form (eV per atom) = -0.154

***

[11]
DFT (PBEsol) results for a relaxed structure of AlRe2Se.

a = 2.9606 Å, b = 4.4269 Å, c = 4.4664 Å
α = 90.00°, β = 90.00°, γ = 90.00°
With the nearest neighbours (Å) after each atom.
Space group Pmm2 (No. 25)
Inequivalent atoms, fractional coordinates:
Al 0.0000 0.0000 0.0000 (multiplicity 1)  6 Re 2.60-2.68, 4 Se 2.78
Re 0.0000 0.5000 0.6953 (multiplicity 1)  2 Al 2.60, 4 Se 2.63-2.73, 4 Re 2.80
Re 0.5000 0.0000 0.5001 (multiplicity 1)  2 Se 2.63, 4 Al 2.68, 4 Re 2.80
Se 0.5000 0.5000 0.1815 (multiplicity 1)  6 Re 2.63-2.73, 4 Al 2.78

Summary:
- polymorph energy (0 for the lowest one) (kJ/mol of formula units) = 0
- volume (Å³/atom) = 14.63
- total energy (Ry per atom) = -0.626
- total magnetization (μB/atom) = 0.000

***

[12]
DFT (PBEsol) results for a relaxed structure of AlRe2Se.

a = 7.3427 Å, b = 7.3427 Å, c = 4.9999 Å
α = 90.00°, β = 90.00°, γ = 90.00°
With the nearest neighbours (Å) after each atom.
Space group I-42d (No. 122)
Inequivalent atoms, fractional coordinates:
Al 0.0000 0.0000 0.0000 (multiplicity 4)  2 Se 2.50
Re 0.1804 0.2500 0.6250 (multiplicity 8)  2 Se 2.35
Se 0.0000 0.0000 0.5000 (multiplicity 4)  4 Re 2.35, 2 Al 2.50

Summary:
- polymorph energy (0 for the lowest one) (kJ/mol of formula units) = 291
- volume (Å³/atom) = 16.85
- total energy (Ry per atom) = -0.571
- total magnetization (μB/atom) = 0.000

***

[13]
DFT (PBEsol) results for a relaxed structure of AlReSe.

a = 3.0914 Å, b = 3.0914 Å, c = 5.7881 Å
α = 90.00°, β = 90.00°, γ = 120.00°
With the nearest neighbours (Å) after each atom.
Space group P3m1 (No. 156)
Inequivalent atoms, fractional coordinates:
Al 0.0000 0.0000 0.0000 (multiplicity 1)  3 Re 2.60, 3 Se 2.78
Re 0.3333 0.6667 0.6725 (multiplicity 1)  3 Se 2.50, 3 Al 2.60
Se 0.6667 0.3333 0.3691 (multiplicity 1)  3 Re 2.50, 3 Al 2.78

Summary:
- volume (Å³/atom) = 15.97
- total energy (Ry per atom) = -0.519
- total magnetization (μB/atom) = 0.000

***

[14]
DFT (PBEsol) results for a relaxed structure of Al2ReSi.

a = 3.7549 Å, b = 3.7549 Å, c = 7.8882 Å
α = 90.00°, β = 90.00°, γ = 90.00°
With the nearest neighbours (Å) after each atom.
Space group I4/mmm (No. 139)
Inequivalent atoms, fractional coordinates:
Al 0.0000 0.5000 0.2500 (multiplicity 4)  4 Al 2.66, 4 Re 2.72, 4 Si 2.72
Re 0.0000 0.0000 0.0000 (multiplicity 2)  4 Si 2.66, 8 Al 2.72
Si 0.0000 0.0000 0.5000 (multiplicity 2)  4 Re 2.66, 8 Al 2.72

Summary:
- volume (Å³/atom) = 13.90
- total energy (Ry per atom) = -0.505
- total magnetization (μB/atom) = 0.000

***

[15]
DFT (PBEsol) results for a relaxed structure of AlReSi2.

a = 3.2011 Å, b = 3.2011 Å, c = 5.2101 Å
α = 90.00°, β = 90.00°, γ = 90.00°
With the nearest neighbours (Å) after each atom.
Space group P4mm (No. 99)
Inequivalent atoms, fractional coordinates:
Al 0.0000 0.0000 0.0000 (multiplicity 1)  6 Si 2.57-2.64, 4 Re 2.67
Re 0.5000 0.5000 0.2720 (multiplicity 1)  6 Si 2.52-2.69, 4 Al 2.67
Si 0.0000 0.0000 0.5070 (multiplicity 1)  2 Al 2.57-2.64, 4 Re 2.57, 4 Si 2.61
Si 0.5000 0.5000 0.7557 (multiplicity 1)  2 Re 2.52-2.69, 4 Al 2.60, 4 Si 2.61

Summary:
- volume (Å³/atom) = 13.35
- total energy (Ry per atom) = -0.541
- total magnetization (μB/atom) = 0.000